The following is a DFT calculation (SCAN) of Ta2PbO2 at its PBEsol-relaxed geometry.

- space-group type = I4/mmm
- formation energy from raw total energies (meV per atom) = -970
- magnetic moment (μB/f.u.) = 0.000

a b c (Å): 5.6454 5.6454 5.6454
angles (deg): 137.44 137.44 61.77
With the nearest neighbours (Å) after each atom.
Fractional coordinates of all 5 atoms:
1 Ta 0.2500 0.7500 0.5000  4 O 2.10
2 Ta 0.7500 0.2500 0.5000  4 O 2.10
3 Pb 0.0000 0.0000 0.0000  2 O 2.90, 8 Ta 3.17
4 O 0.2992 0.2992 0.0000  4 Ta 2.10
5 O 0.7008 0.7008 0.0000  4 Ta 2.10